(1)
{
  "formula": "Pr6Sn3Bi",
  "functional": "GGA-PBE",
  "state": "optimized geometry",
  "energy_ev_per_atom": -4.99,
  "formation_enthalpy_0k_mev_per_atom": -536,
  "spacegroup": "Cmc2_1 (36)",
  "volume_a3_per_cell": 683.6,
  "lattice_angstrom": [[-3.337, -6.138, 4.164], [5.692, -6.164, -4.524], [3.916, 3.319, 8.031]],
  "species": ["Pr", "Pr", "Pr", "Pr", "Pr", "Pr", "Pr", "Pr", "Pr", "Pr", "Pr", "Pr", "Sn", "Sn", "Sn", "Sn", "Sn", "Sn", "Bi", "Bi"],
  "fractional_positions": [[0.620, 0.669, 0.753], [0.764, 0.024, 0.976], [0.258, 0.092, 0.511], [0.663, 0.285, 0.715], [0.120, 0.331, 0.247], [0.264, 0.976, 0.024], [0.758, 0.511, 0.092], [0.163, 0.715, 0.285], [0.758, 0.908, 0.489], [0.258, 0.489, 0.908], [0.620, 0.247, 0.331], [0.120, 0.753, 0.669], [0.968, 0.025, 0.270], [0.468, 0.975, 0.730], [0.844, 0.562, 0.438], [0.468, 0.270, 0.025], [0.344, 0.438, 0.562], [0.968, 0.730, 0.975], [0.523, 0.827, 0.173], [0.023, 0.173, 0.827]]
}

***

(2)
{
  "formula": "Pr2Sn4Bi",
  "functional": "GGA-PBE",
  "state": "optimized geometry",
  "e_above_lowest_polymorph_ev_per_atom": 0.0000,
  "energy_ev_per_atom": -4.63,
  "formation_enthalpy_0k_mev_per_atom": -427,
  "spacegroup": "C2/m (12)",
  "volume_a3_per_cell": 216.9,
  "lattice_angstrom": [[5.828, 0.030, -3.337], [-1.926, 5.500, -3.337], [0.003, 0.004, 6.751]],
  "species": ["Sn", "Sn", "Sn", "Sn", "Bi", "Pr", "Pr"],
  "fractional_positions": [[0.286, 0.286, 0.071], [0.786, 0.286, 0.071], [0.286, 0.786, 0.071], [0.786, 0.786, 0.072], [0.786, 0.786, 0.571], [0.286, 0.786, 0.571], [0.786, 0.286, 0.571]]
}

***

(3)
{
  "formula": "Pr5Sn2Bi2",
  "functional": "GGA-PBE",
  "state": "optimized geometry",
  "energy_ev_per_atom": -5.26,
  "formation_enthalpy_0k_mev_per_atom": -848,
  "spacegroup": "Cmce (64)",
  "volume_a3_per_cell": 593.4,
  "lattice_angstrom": [[-3.627, 7.739, 0.585], [-3.397, -2.161, 7.517], [8.308, 3.891, 0.035]],
  "species": ["Bi", "Bi", "Bi", "Bi", "Pr", "Pr", "Pr", "Pr", "Pr", "Pr", "Pr", "Pr", "Pr", "Pr", "Sn", "Sn", "Sn", "Sn"],
  "fractional_positions": [[0.500, 0.705, 0.409], [0.000, 0.795, 0.591], [0.000, 0.205, 0.409], [0.500, 0.295, 0.591], [0.000, 0.000, 0.000], [0.168, 0.196, 0.733], [0.668, 0.037, 0.733], [0.832, 0.537, 0.733], [0.332, 0.696, 0.733], [0.668, 0.304, 0.267], [0.832, 0.804, 0.267], [0.332, 0.963, 0.267], [0.168, 0.463, 0.267], [0.500, 0.500, 0.000], [0.630, 0.870, 0.000], [0.130, 0.630, 0.000], [0.870, 0.370, 0.000], [0.370, 0.130, 0.000]]
}